*i*
The following is a PBE calculation of a relaxed GeSeIN2 crystal, from Alexandria.

Results
N(E_F)   0.712 states/eV per atom

Lattice parameters (Å, degrees): 3.8976 3.8976 6.4094 90.00 90.00 90.00
Fractional coordinates of all 5 atoms:
Ge1 0.0000 0.0000 0.0000
Se1 0.0000 0.0000 0.5000
I1 0.5000 0.5000 0.5000
N1 0.0000 0.5000 0.0000
N2 0.5000 0.0000 0.0000

*ii*
The following is a PBE calculation of a relaxed GeSeIN2 crystal, from Alexandria.

Results
N(E_F)   0.615 states/eV per atom

Lattice parameters (Å, degrees): 4.0052 4.0052 7.0102 90.00 90.00 90.00
Fractional coordinates of all 5 atoms:
Ge1 0.0000 0.0000 0.0000
Se1 0.5000 0.5000 0.5000
I1 0.5000 0.5000 0.0000
N1 0.0000 0.5000 0.5000
N2 0.5000 0.0000 0.5000

*i* wins, 338 meV/atom ahead of the next structure.

*i*
The following is a PBE calculation of a relaxed GeSe2IN crystal, from Alexandria.

Results
N(E_F)   0.908 states/eV per atom

Lattice parameters (Å, degrees): 5.3696 5.3696 3.6244 90.00 90.00 90.00
Fractional coordinates of all 5 atoms:
Ge1 0.0000 0.0000 0.0000
Se1 0.0000 0.5000 0.0000
Se2 0.5000 0.0000 0.0000
I1 0.5000 0.5000 0.5000
N1 0.0000 0.0000 0.5000

*ii*
The following is a PBE calculation of a relaxed GeSe2IN crystal, from Alexandria.

Results
N(E_F)   0.670 states/eV per atom

Lattice parameters (Å, degrees): 5.5061 5.5061 3.9483 90.00 90.00 90.00
Fractional coordinates of all 5 atoms:
Ge1 0.0000 0.0000 0.0000
Se1 0.0000 0.5000 0.5000
Se2 0.5000 0.0000 0.5000
I1 0.5000 0.5000 0.5000
N1 0.5000 0.5000 0.0000

*i* wins, 404 meV/atom ahead of the next structure.

*i*
The following is a PBE calculation of a relaxed SrGeIN2 crystal, from Alexandria.

Results
N(E_F)   0.456 states/eV per atom

Lattice parameters (Å, degrees): 4.8696 4.8696 6.5169 90.00 90.00 90.00
Fractional coordinates of all 5 atoms:
Sr1 0.0000 0.0000 0.0000
Ge1 0.5000 0.5000 0.5000
I1 0.0000 0.0000 0.5000
N1 0.0000 0.5000 0.0000
N2 0.5000 0.0000 0.0000

*ii*
The following is a PBE calculation of a relaxed SrGeIN2 crystal, from Alexandria.

Results
N(E_F)   0.210 states/eV per atom

Lattice parameters (Å, degrees): 4.2362 4.2362 5.7441 90.00 90.00 90.00
Fractional coordinates of all 5 atoms:
Sr1 0.0000 0.0000 0.0000
Ge1 0.5000 0.5000 0.5000
I1 0.5000 0.5000 0.0000
N1 0.0000 0.5000 0.5000
N2 0.5000 0.0000 0.5000

*ii* wins, 719 meV/atom ahead of the next structure.

*i*
The following is a PBE calculation of a relaxed SrGeI2N crystal, from Alexandria.

Results
N(E_F)   0.104 states/eV per atom

Lattice parameters (Å, degrees): 6.1836 6.1836 3.7581 90.00 90.00 90.00
Fractional coordinates of all 5 atoms:
Sr1 0.0000 0.0000 0.0000
Ge1 0.5000 0.5000 0.5000
I1 0.0000 0.5000 0.5000
I2 0.5000 0.0000 0.5000
N1 0.5000 0.5000 0.0000

*ii*
The following is a PBE calculation of a relaxed SrGeI2N crystal, from Alexandria.

Results
N(E_F)   0.794 states/eV per atom

Lattice parameters (Å, degrees): 6.4342 6.4342 4.9688 90.00 90.00 90.00
Fractional coordinates of all 5 atoms:
Sr1 0.0000 0.0000 0.0000
Ge1 0.5000 0.5000 0.5000
I1 0.0000 0.5000 0.0000
I2 0.5000 0.0000 0.0000
N1 0.0000 0.0000 0.5000

*i* wins, 654 meV/atom ahead of the next structure.

*i*
The following is a PBE calculation of a relaxed TaGeI2N crystal, from Alexandria.

Results
N(E_F)   0.370 states/eV per atom

Lattice parameters (Å, degrees): 5.8155 5.8155 3.5111 90.00 90.00 90.00
Fractional coordinates of all 5 atoms:
Ta1 0.0000 0.0000 0.0000
Ge1 0.5000 0.5000 0.5000
I1 0.0000 0.5000 0.5000
I2 0.5000 0.0000 0.5000
N1 0.5000 0.5000 0.0000

*ii*
The following is a PBE calculation of a relaxed TaGeI2N crystal, from Alexandria.

Results
N(E_F)   0.714 states/eV per atom

Lattice parameters (Å, degrees): 5.6895 5.6895 3.9191 90.00 90.00 90.00
Fractional coordinates of all 5 atoms:
Ta1 0.0000 0.0000 0.0000
Ge1 0.5000 0.5000 0.5000
I1 0.0000 0.5000 0.0000
I2 0.5000 0.0000 0.0000
N1 0.0000 0.0000 0.5000

*ii* wins, 856 meV/atom ahead of the next structure.

*i*
The following is a PBE calculation of a relaxed TaGeIN2 crystal, from Alexandria.

Results
N(E_F)   0.449 states/eV per atom

Lattice parameters (Å, degrees): 4.1053 4.1053 5.7412 90.00 90.00 90.00
Fractional coordinates of all 5 atoms:
Ta1 0.0000 0.0000 0.0000
Ge1 0.5000 0.5000 0.5000
I1 0.0000 0.0000 0.5000
N1 0.0000 0.5000 0.0000
N2 0.5000 0.0000 0.0000

*ii*
The following is a PBE calculation of a relaxed TaGeIN2 crystal, from Alexandria.

Results
N(E_F)   0.666 states/eV per atom

Lattice parameters (Å, degrees): 3.9680 3.9680 5.3921 90.00 90.00 90.00
Fractional coordinates of all 5 atoms:
Ta1 0.0000 0.0000 0.0000
Ge1 0.5000 0.5000 0.5000
I1 0.5000 0.5000 0.0000
N1 0.0000 0.5000 0.5000
N2 0.5000 0.0000 0.5000

*i* wins, 1267 meV/atom ahead of the next structure.